{"formula": "Li2TaFe", "functional": "PBE", "state": "optimized geometry", "lattice_angstrom": [[-1.443, 2.049, 4.888], [1.443, -2.049, 4.888], [1.443, 2.049, -4.888]], "species": ["Li", "Li", "Ta", "Fe"], "frac_coords": [[0.228, 0.228, 0.000], [0.772, 0.772, 0.000], [0.500, 0.000, 0.500], [0.000, 0.500, 0.500]], "n_ef_per_ev_cell": 2.6, "e_tot_ev_per_atom": -5.781}